(1)
# SiAsO2 | Alexandria | GGA-PBE | relaxed
# V: 13.48 A^3/atom
# E above lowest polymorph: 0 meV per atom
# calculated density: 4.2 g cm⁻³
# total moment: 0.00 μB per formula unit
# total DFT energy (no corrections): -6.632 eV/atom
# formation energy (no corrections): -1.6350 eV/atom
data_SiAsO2
_symmetry_space_group_name_H-M 'P 1'
_symmetry_Int_Tables_number 1
_cell_length_a 8.6968
_cell_length_b 8.6968
_cell_length_c 8.6968
_cell_angle_alpha 17.84
_cell_angle_beta 17.84
_cell_angle_gamma 17.84
loop_
_symmetry_equiv_pos_as_xyz
'x,y,z'
loop_
_atom_site_label
_atom_site_type_symbol
_atom_site_fract_x
_atom_site_fract_y
_atom_site_fract_z
_atom_site_occupancy
Si1 Si 0.0000 0.0000 0.0000 1
As1 As 0.5000 0.5000 0.5000 1
O1 O 0.3688 0.3688 0.3688 1
O2 O 0.6312 0.6312 0.6312 1

***

(2)
# Si3AsO | Alexandria | GGA-PBE | relaxed
# V: 15.71 A^3/atom
# E above lowest polymorph: 0 meV per atom
# calculated density: 3.7 g cm⁻³
# total moment: 0.00 μB per formula unit
# total DFT energy (no corrections): -4.861 eV/atom
# formation energy (no corrections): 0.3146 eV/atom
data_Si3AsO
_symmetry_space_group_name_H-M 'P 1'
_symmetry_Int_Tables_number 1
_cell_length_a 4.2825
_cell_length_b 4.2825
_cell_length_c 4.2825
_cell_angle_alpha 90.00
_cell_angle_beta 90.00
_cell_angle_gamma 90.00
loop_
_symmetry_equiv_pos_as_xyz
'x,y,z'
loop_
_atom_site_label
_atom_site_type_symbol
_atom_site_fract_x
_atom_site_fract_y
_atom_site_fract_z
_atom_site_occupancy
Si1 Si 0.0000 0.0000 0.5000 1
Si2 Si 0.0000 0.5000 0.0000 1
Si3 Si 0.5000 0.0000 0.0000 1
As1 As 0.5000 0.5000 0.5000 1
O1 O 0.0000 0.0000 0.0000 1

***

(3)
# SiAsO3 | Alexandria | GGA-PBE | relaxed
# V: 9.18 A^3/atom
# calculated density: 5.5 g cm⁻³
# total moment: 0.00 μB per formula unit
# total DFT energy (no corrections): -6.233 eV/atom
# formation energy (no corrections): -1.2437 eV/atom
data_SiAsO3
_symmetry_space_group_name_H-M 'P 1'
_symmetry_Int_Tables_number 1
_cell_length_a 3.5803
_cell_length_b 3.5803
_cell_length_c 3.5803
_cell_angle_alpha 90.00
_cell_angle_beta 90.00
_cell_angle_gamma 90.00
loop_
_symmetry_equiv_pos_as_xyz
'x,y,z'
loop_
_atom_site_label
_atom_site_type_symbol
_atom_site_fract_x
_atom_site_fract_y
_atom_site_fract_z
_atom_site_occupancy
Si1 Si 0.0000 0.0000 0.0000 1
As1 As 0.5000 0.5000 0.5000 1
O1 O 0.0000 0.0000 0.5000 1
O2 O 0.0000 0.5000 0.0000 1
O3 O 0.5000 0.0000 0.0000 1

***

(4)
# SiAsO2 | Alexandria | GGA-PBE | relaxed
# V: 13.36 A^3/atom
# E above lowest polymorph: 221 meV per atom
# calculated density: 4.2 g cm⁻³
# total moment: 0.00 μB per formula unit
# total DFT energy (no corrections): -6.411 eV/atom
# formation energy (no corrections): -1.4141 eV/atom
data_SiAsO2
_symmetry_space_group_name_H-M 'P 1'
_symmetry_Int_Tables_number 1
_cell_length_a 5.3271
_cell_length_b 5.3271
_cell_length_c 5.3271
_cell_angle_alpha 60.00
_cell_angle_beta 60.00
_cell_angle_gamma 60.00
loop_
_symmetry_equiv_pos_as_xyz
'x,y,z'
loop_
_atom_site_label
_atom_site_type_symbol
_atom_site_fract_x
_atom_site_fract_y
_atom_site_fract_z
_atom_site_occupancy
Si1 Si 0.1250 0.1250 0.1250 1
Si2 Si 0.8750 0.8750 0.8750 1
As1 As 0.3750 0.3750 0.3750 1
As2 As 0.6250 0.6250 0.6250 1
O1 O 0.0000 0.0000 0.0000 1
O2 O 0.0000 0.0000 0.5000 1
O3 O 0.0000 0.5000 0.0000 1
O4 O 0.5000 0.0000 0.0000 1

***

(5)
# Si3AsO | Alexandria | GGA-PBE | relaxed
# V: 21.59 A^3/atom
# E above lowest polymorph: 1156 meV per atom
# calculated density: 2.7 g cm⁻³
# total moment: 0.00 μB per formula unit
# total DFT energy (no corrections): -3.705 eV/atom
# formation energy (no corrections): 1.4702 eV/atom
data_Si3AsO
_symmetry_space_group_name_H-M 'P 1'
_symmetry_Int_Tables_number 1
_cell_length_a 4.7614
_cell_length_b 4.7614
_cell_length_c 4.7614
_cell_angle_alpha 90.00
_cell_angle_beta 90.00
_cell_angle_gamma 90.00
loop_
_symmetry_equiv_pos_as_xyz
'x,y,z'
loop_
_atom_site_label
_atom_site_type_symbol
_atom_site_fract_x
_atom_site_fract_y
_atom_site_fract_z
_atom_site_occupancy
Si1 Si 0.0000 0.0000 0.5000 1
Si2 Si 0.0000 0.5000 0.0000 1
Si3 Si 0.5000 0.0000 0.0000 1
As1 As 0.0000 0.0000 0.0000 1
O1 O 0.5000 0.5000 0.5000 1

***

(6)
# Si2As2O7 | Alexandria | GGA-PBE | relaxed
# V: 16.72 A^3/atom
# calculated density: 2.9 g cm⁻³
# total moment: 0.00 μB per formula unit
# total DFT energy (no corrections): -7.014 eV/atom
# formation energy (no corrections): -2.0273 eV/atom
data_Si2As2O7
_symmetry_space_group_name_H-M 'P 1'
_symmetry_Int_Tables_number 1
_cell_length_a 7.3738
_cell_length_b 7.5579
_cell_length_c 13.4377
_cell_angle_alpha 89.05
_cell_angle_beta 81.37
_cell_angle_gamma 83.66
loop_
_symmetry_equiv_pos_as_xyz
'x,y,z'
loop_
_atom_site_label
_atom_site_type_symbol
_atom_site_fract_x
_atom_site_fract_y
_atom_site_fract_z
_atom_site_occupancy
Si1 Si 0.0362 0.3277 0.1358 1
Si2 Si 0.2487 0.1628 0.3906 1
Si3 Si 0.3466 0.2663 0.5994 1
Si4 Si 0.3933 0.1507 0.8071 1
Si5 Si 0.6067 0.8493 0.1929 1
Si6 Si 0.6534 0.7337 0.4006 1
Si7 Si 0.7513 0.8372 0.6094 1
Si8 Si 0.9638 0.6723 0.8642 1
As1 As 0.0058 0.7563 0.0946 1
As2 As 0.1691 0.6812 0.6339 1
As3 As 0.2645 0.7331 0.3335 1
As4 As 0.4480 0.2583 0.1745 1
As5 As 0.5520 0.7417 0.8255 1
As6 As 0.7355 0.2669 0.6665 1
As7 As 0.8309 0.3188 0.3661 1
As8 As 0.9942 0.2437 0.9054 1
O1 O 0.0448 0.7500 0.9598 1
O2 O 0.0666 0.3073 0.3906 1
O3 O 0.0958 0.5301 0.1186 1
O4 O 0.1324 0.6840 0.7701 1
O5 O 0.1971 0.4424 0.6169 1
O6 O 0.1971 0.9649 0.3648 1
O7 O 0.2215 0.1994 0.1574 1
O8 O 0.2402 0.2742 0.8856 1
O9 O 0.3119 0.1574 0.5021 1
O10 O 0.3169 0.1356 0.6984 1
O11 O 0.4152 0.7517 0.2145 1
O12 O 0.4194 0.2309 0.3112 1
O13 O 0.4267 0.9554 0.8590 1
O14 O 0.4392 0.6813 0.4154 1
O15 O 0.5608 0.3187 0.5846 1
O16 O 0.5733 0.0446 0.1410 1
O17 O 0.5806 0.7691 0.6888 1
O18 O 0.5848 0.2483 0.7855 1
O19 O 0.6831 0.8644 0.3016 1
O20 O 0.6881 0.8426 0.4979 1
O21 O 0.7598 0.7258 0.1144 1
O22 O 0.7785 0.8006 0.8426 1
O23 O 0.8029 0.0351 0.6352 1
O24 O 0.8029 0.5576 0.3831 1
O25 O 0.8676 0.3160 0.2299 1
O26 O 0.9042 0.4699 0.8814 1
O27 O 0.9334 0.6927 0.6094 1
O28 O 0.9552 0.2500 0.0402 1